Entry 1:
# Ba2SiRh PBE optimized geometry
# raw formation energy: 0.060 eV per atom
# electronic total energy: -4.095 eV/atom
# M_tot: 0.00 μB per atom
data_Ba2SiRh
_cell_length_a 3.896
_cell_length_b 4.182
_cell_length_c 7.130
_cell_angle_alpha 90.00
_cell_angle_beta 90.00
_cell_angle_gamma 90.00
_symmetry_space_group_name_H-M 'P m m m'
_symmetry_Int_Tables_number 47
loop_
_symmetry_equiv_pos_as_xyz
'x,y,z'
'-x,-y,-z'
'-x,-y,z'
'x,y,-z'
'x,-y,-z'
'-x,y,z'
'-x,y,-z'
'x,-y,z'
loop_
_atom_site_label
_atom_site_fract_x
_atom_site_fract_y
_atom_site_fract_z
Ba1 0.000 0.000 0.242
Si1 0.500 0.500 0.500
Rh1 0.500 0.500 0.000

Entry 2:
# Ba2SiRh PBE optimized geometry
# raw formation energy: -0.428 eV per atom
# electronic total energy: -4.583 eV/atom
# M_tot: 0.00 μB per atom
data_Ba2SiRh
_cell_length_a 4.249
_cell_length_b 5.087
_cell_length_c 11.658
_cell_angle_alpha 90.00
_cell_angle_beta 90.00
_cell_angle_gamma 90.00
_symmetry_space_group_name_H-M 'A m m 2'
_symmetry_Int_Tables_number 38
loop_
_symmetry_equiv_pos_as_xyz
'x,y,z'
'-x,-y,z'
'-x,y,z'
'x,-y,z'
'x,y+1/2,z+1/2'
'-x,-y+1/2,z+1/2'
'-x,y+1/2,z+1/2'
'x,-y+1/2,z+1/2'
loop_
_atom_site_label
_atom_site_fract_x
_atom_site_fract_y
_atom_site_fract_z
Ba1 0.000 0.000 0.000
Ba2 0.500 0.000 0.289
Si1 0.500 0.000 0.599
Rh1 0.000 0.000 0.689

Entry 3:
# BaSiRh3 PBE optimized geometry
# offset from the most stable computed form: 2253 meV per atom
# raw formation energy: 1.963 eV per atom
# electronic total energy: -3.917 eV/atom
# M_tot: 0.00 μB per atom
data_BaSiRh3
_cell_length_a 5.046
_cell_length_b 5.046
_cell_length_c 5.046
_cell_angle_alpha 90.00
_cell_angle_beta 90.00
_cell_angle_gamma 90.00
_symmetry_space_group_name_H-M 'P m -3 m'
_symmetry_Int_Tables_number 221
_symmetry_space_group_name_Hall '-P 4 2 3'
loop_
_atom_site_label
_atom_site_fract_x
_atom_site_fract_y
_atom_site_fract_z
Ba1 0.000 0.000 0.000
Si1 0.500 0.500 0.500
Rh1 0.000 0.000 0.500